The following is a PBE-GGA calculation of a geometry-optimized Zr2GaP structure, from the Alexandria database.

Geometry as extended XYZ:
```
4
Lattice="1.790 1.033 7.242 -1.790 1.033 7.242 0.000 -2.067 7.242" Properties=species:S:1:pos:R:3 pbc="T T T"
Zr 0.000 0.000 0.000
Zr 0.000 0.000 4.231
Ga 0.000 0.000 9.339
P 0.000 0.000 12.991
```

DFT total energy = -29.049 eV/f.u.
magnetic moment = 0.0000 μB/atom